Record 1
First-principles (GGA-PBE) data for a geometry-optimized MgCrRu2 structure, as listed in the Alexandria database.

Cell and atoms, written as POSCAR:
```
MgCrRu2
1.0
4.202 0.000 0.000
0.000 2.734 0.004
0.000 1.379 4.895
Cr Mg Ru
1 1 2
direct
0.000 0.429 0.501 Cr
0.500 0.714 0.746 Mg
0.000 0.022 0.989 Ru
0.500 0.336 0.263 Ru
```

**ΔE_f**: 4.81 kcal/mol of atoms
**Density of states at the Fermi level**: 0.891 states/eV/atom

---

Record 2
First-principles (GGA-PBE) data for a geometry-optimized MgCr2Ru structure, as listed in the Alexandria database.

Cell and atoms, written as POSCAR:
```
MgCr2Ru
1.0
4.230 0.000 0.000
0.000 2.650 0.004
0.000 1.219 4.926
Cr Mg Ru
2 1 1
direct
0.000 0.023 0.969 Cr
0.000 0.477 0.531 Cr
0.500 0.250 0.250 Mg
0.500 0.750 0.750 Ru
```

**ΔE_f**: 8.00 kcal/mol of atoms
**Density of states at the Fermi level**: 1.402 states/eV/atom

---

The lowest ΔE_f belongs to which entry? MgCrRu2